Density functional theory data (PBE) for an optimized crystal structure of CaVPbCl6.

```
CaVPbCl6
1.0
6.7550 0.0000 0.0000
-3.3775 5.8500 0.0000
0.0000 0.0000 12.5108
Ca V Pb Cl
2 2 2 12
direct
0.3333 0.6667 0.2500
0.6667 0.3333 0.7500
0.6667 0.3333 0.2500
0.3333 0.6667 0.7500
0.0000 0.0000 0.0000
0.0000 0.0000 0.5000
0.6559 0.6277 0.1338
0.9718 0.3441 0.1338
0.3441 0.9718 0.6338
0.0282 0.6559 0.8662
0.3723 0.3441 0.3662
0.9718 0.6277 0.3662
0.6277 0.9718 0.8662
0.6559 0.0282 0.3662
0.0282 0.3723 0.6338
0.3723 0.0282 0.1338
0.6277 0.6559 0.6338
0.3441 0.3723 0.8662
```

Results
ρ (kg/m3): 3432
Raw formation energy (eV per atom): -1.5478

=====

Density functional theory data (PBE) for an optimized crystal structure of PrCoGe3Os.

```
PrCoGe3Os
1.0
7.0305 0.0000 0.0000
0.0000 5.8733 0.0000
0.0000 -2.9367 5.7194
Pr Co Ge Os
2 2 6 2
direct
0.7500 0.2711 0.5422
0.2500 0.7289 0.4578
0.2500 0.0118 0.0237
0.7500 0.9882 0.9763
0.2500 0.2028 0.4056
0.0000 0.2624 0.0000
0.5000 0.7376 0.0000
0.5000 0.2624 0.0000
0.0000 0.7376 0.0000
0.7500 0.7972 0.5944
0.2500 0.4048 0.8096
0.7500 0.5952 0.1904
```

Results
ρ (kg/m3): 8550
Formation enthalpy at 0 K (eV per atom): -0.21
Fermi-level density of states (states/eV per cell): 8.1

=====

Density functional theory data (PBE) for an optimized crystal structure of TaPBr3.

```
TaPBr3
1.0
-4.0033 3.2969 0.0757
-3.2862 -3.9783 -0.5256
-0.2761 -0.4536 5.1595
P Br Ta
1 3 1
direct
0.5000 0.5000 0.5000
0.0000 0.5000 0.0000
0.0000 0.0000 0.5000
0.5000 0.0000 0.0000
0.0000 0.0000 0.0000
```

Results
ρ (kg/m3): 5375
Fermi-level density of states (states/eV per cell): 2.8
Raw formation energy (eV per atom): 0.4117

=====

Density functional theory data (PBE) for an optimized crystal structure of CaAcNdTl.

```
CaAcNdTl
1.0
5.8089 0.0000 0.0000
2.9045 5.0307 0.0000
2.9045 1.6769 4.7430
Ac Ca Nd Tl
1 1 1 1
direct
0.5000 0.5000 0.5000
0.7500 0.7500 0.7500
0.2500 0.2500 0.2500
0.0000 0.0000 0.0000
```

Results
ρ (kg/m3): 7376
Formation enthalpy at 0 K (eV per atom): 0.04
Fermi-level density of states (states/eV per cell): 7.1

=====

Density functional theory data (PBE) for an optimized crystal structure of Pm2Tm3Sn2.

```
Pm2Tm3Sn2
1.0
-3.6716 2.4238 0.6726
-1.0178 -4.3515 -4.6000
-0.9961 -3.6314 7.6493
Pm Tm Sn
2 3 2
direct
0.8636 0.7273 0.2079
0.1364 0.2727 0.7921
0.5000 0.0000 0.0000
0.6231 0.2462 0.4391
0.3769 0.7538 0.5609
0.8315 0.6630 0.7945
0.1685 0.3370 0.2055
```

Results
ρ (kg/m3): 8059
Formation enthalpy at 0 K (eV per atom): -0.46
Fermi-level density of states (states/eV per cell): 8.7

=====

Density functional theory data (PBE) for an optimized crystal structure of Ga4Cu5.

```
Ga4Cu5
1.0
-3.0177 -1.2640 1.3438
-0.7790 -5.5181 -2.7386
1.7652 -3.8875 4.5086
Ga Cu
4 5
direct
0.3414 0.6558 0.6606
0.3414 0.9939 0.3224
0.6586 0.6776 0.0061
0.6586 0.3394 0.3442
0.0000 0.0047 0.9953
0.0000 0.3287 0.6713
0.0000 0.6667 0.3333
0.3464 0.3283 0.9950
0.6536 0.0050 0.6717
```

Results
ρ (kg/m3): 7861
Formation enthalpy at 0 K (eV per atom): -0.01
Fermi-level density of states (states/eV per cell): 2.3

=====

Density functional theory data (PBE) for an optimized crystal structure of Rb2HCl6F.

```
Rb2HCl6F
1.0
7.3893 0.0000 0.0000
0.0000 7.3893 0.0000
3.6947 3.6947 4.5469
H F Rb Cl
1 1 2 6
direct
0.5000 0.5000 0.0000
0.0000 0.0000 0.0000
0.7500 0.2500 0.5000
0.2500 0.7500 0.5000
0.2168 0.2168 0.5664
0.7832 0.7832 0.4336
0.3040 0.3040 0.0000
0.6960 0.6960 0.0000
0.6960 0.3040 0.0000
0.3040 0.6960 0.0000
```

Results
E_tot (eV/atom): -2.329
ρ (kg/m3): 2700
Fermi-level density of states (states/eV per cell): 7.0

=====

Density functional theory data (PBE) for an optimized crystal structure of YTl2Si2O6.

```
YTl2Si2O6
1.0
5.9392 0.0000 0.0000
-2.9696 5.1393 -0.2049
0.0000 -3.1946 6.0788
Y Tl Si O
1 2 2 6
direct
0.5000 0.0000 0.5000
0.7159 0.4319 0.1486
0.2841 0.5681 0.8514
0.9268 0.8535 0.7793
0.0732 0.1465 0.2207
0.7543 0.5086 0.7245
0.2452 0.0276 0.2742
0.2176 0.9724 0.7258
0.7548 0.9724 0.7258
0.7824 0.0276 0.2742
0.2457 0.4914 0.2755
```

Results
ρ (kg/m3): 5940
Raw formation energy (eV per atom): -2.1927

=====

Density functional theory data (PBE) for an optimized crystal structure of HoErMnRu.

```
HoErMnRu
1.0
-3.5241 -3.3586 -0.1852
1.1025 -4.7181 0.5076
-1.3062 -2.3856 4.0418
Ru Mn Ho Er
1 1 1 1
direct
0.2500 0.2500 0.2500
0.7500 0.7500 0.7500
0.5000 0.5000 0.5000
0.0000 0.0000 0.0000
```

Results
ρ (kg/m3): 9916
Formation enthalpy at 0 K (eV per atom): -0.11
Fermi-level density of states (states/eV per cell): 2.9

=====

Density functional theory data (PBE) for an optimized crystal structure of Sn6TeAs2Se3.

```
Sn6TeAs2Se3
1.0
-3.5964 -2.1526 0.5551
3.8222 -7.1040 -2.7856
3.2698 1.0010 8.9657
Sn Te As Se
6 1 2 3
direct
0.3263 0.9078 0.6525
0.6742 0.5696 0.3484
0.6737 0.0922 0.3475
0.0047 0.2663 0.0093
0.9953 0.7337 0.9907
0.3258 0.4304 0.6516
0.5000 0.0000 0.0000
0.8335 0.6665 0.6670
0.1665 0.3335 0.3330
0.5000 0.5000 0.0000
0.8341 0.1647 0.6683
0.1659 0.8353 0.3317
```

Results
ρ (kg/m3): 6221
Fermi-level density of states (states/eV per cell): 7.4
Raw formation energy (eV per atom): -0.2436

=====

Which formula does entry 9 have? HoErMnRu

=====

What is the ρ in the fifth record? 8059 kg/m3